# 1
CdOs2W: optimized geometry, PBE.

space group	Pmmm, No. 47
ΔH_f (0 K)	0.82	eV per atom
energy	-33.03	eV for the cell shown

Unit cell a=2.8800 b=4.6394 c=4.8080 alpha=90.00 beta=90.00 gamma=90.00
With the nearest neighbours (Å) after each atom.
Positions (direct):
Cd1 0.0000 0.0000 0.0000  4 Os 2.73, 4 W 2.80, 2 Cd 2.88
Os1 0.0000 0.5000 0.5000  4 W 2.73, 6 Os 2.80-2.88
Os2 0.5000 0.5000 0.0000  4 Cd 2.73, 6 Os 2.80-2.88
W1 0.5000 0.0000 0.5000  4 Os 2.73, 4 Cd 2.80, 2 W 2.88

=====

# 2
Cd2OsW: optimized geometry, PBE.

space group	Cmmm, No. 65
ΔH_f (0 K)	0.74	eV per atom
energy above the most stable polymorph in this dataset	487	meV per atom
energy	-23.07	eV for the cell shown

Unit cell a=2.8027 b=2.8027 c=9.8088 alpha=90.00 beta=90.00 gamma=114.96
With the nearest neighbours (Å) after each atom.
Positions (direct):
Cd1 0.0000 0.0000 0.2445  6 Cd 2.80-3.01, 2 Os 2.83, 2 W 2.92
Cd2 0.0000 0.0000 0.7555  6 Cd 2.80-3.01, 2 Os 2.83, 2 W 2.92
Os1 0.5000 0.5000 0.0000  6 Os 2.80-3.01, 4 Cd 2.83
W1 0.5000 0.5000 0.5000  6 W 2.80-3.01, 4 Cd 2.92

=====

# 3
CdOsW: optimized geometry, PBE.

space group	Fmm2, No. 42
ΔH_f (0 K)	0.50	eV per atom
energy above the most stable polymorph in this dataset	172	meV per atom
energy	-23.60	eV for the cell shown

Unit cell a=7.6451 b=7.4348 c=2.7714 alpha=83.72 beta=75.16 gamma=21.12
With the nearest neighbours (Å) after each atom.
Positions (direct):
Cd1 0.0000 0.0000 0.0000  6 Cd 2.77-3.00, 2 Os 2.96, 2 W 3.00
Os1 0.3247 0.3247 0.6753  2 W 2.60, 4 Os 2.77
W1 0.6785 0.6785 0.3215  2 Os 2.60, 4 W 2.77

=====

# 4
CdOsW2: optimized geometry, PBE.

space group	P4mm, No. 99
ΔH_f (0 K)	0.41	eV per atom
energy	-36.39	eV for the cell shown

Unit cell a=2.8339 b=2.8339 c=8.3454 alpha=90.00 beta=90.00 gamma=90.00
With the nearest neighbours (Å) after each atom.
Positions (direct):
Cd1 0.0000 0.0000 0.0000  4 Cd 2.83, 4 Os 2.97, 4 W 3.04
Os1 0.5000 0.5000 0.2620  4 W 2.66, 4 Os 2.83, 4 Cd 2.97
W1 0.0000 0.0000 0.4717  4 Os 2.66, 8 W 2.83-2.92
W2 0.5000 0.5000 0.7263  8 W 2.83-2.92, 4 Cd 3.04

=====

Repeat the first record exactly.
CdOs2W: optimized geometry, PBE.

space group	Pmmm, No. 47
ΔH_f (0 K)	0.82	eV per atom
energy	-33.03	eV for the cell shown

Unit cell a=2.8800 b=4.6394 c=4.8080 alpha=90.00 beta=90.00 gamma=90.00
With the nearest neighbours (Å) after each atom.
Positions (direct):
Cd1 0.0000 0.0000 0.0000  4 Os 2.73, 4 W 2.80, 2 Cd 2.88
Os1 0.0000 0.5000 0.5000  4 W 2.73, 6 Os 2.80-2.88
Os2 0.5000 0.5000 0.0000  4 Cd 2.73, 6 Os 2.80-2.88
W1 0.5000 0.0000 0.5000  4 Os 2.73, 4 Cd 2.80, 2 W 2.88